[1]
SrAsIr3 | SCAN | single point on PBEsol structure

## Properties
**Spin magnetization**: 0.0 μB/cell
**Calculated formation energy**: 0.353 eV per atom

a = 4.6208 Å, b = 4.6208 Å, c = 4.6208 Å
α = 90.00°, β = 90.00°, γ = 90.00°
Space group Pm-3m (No. 221)
One atom of each set of equivalent atoms:
Sr1 0.0000 0.0000 0.0000 (multiplicity 1)
As1 0.5000 0.5000 0.5000 (multiplicity 1)
Ir1 0.0000 0.5000 0.5000 (multiplicity 3)

---

[2]
SrAs2Ir | SCAN | single point on PBEsol structure

## Properties
**Spin magnetization**: 0.0 μB/cell
**Calculated formation energy**: -0.212 eV per atom

a = 3.2262 Å, b = 3.6832 Å, c = 6.8434 Å
α = 90.00°, β = 90.00°, γ = 90.00°
Space group Pmm2 (No. 25)
One atom of each set of equivalent atoms:
Sr1 0.0000 0.0000 0.0000 (multiplicity 1)
As1 0.0000 0.0000 0.5365 (multiplicity 1)
As2 0.5000 0.5000 0.2907 (multiplicity 1)
Ir1 0.5000 0.5000 0.6600 (multiplicity 1)

---

[3]
SrAsIr2 | SCAN | single point on PBEsol structure

## Properties
**Spin magnetization**: 0.0 μB/cell
**Calculated formation energy**: -0.321 eV per atom

a = 4.2845 Å, b = 4.2845 Å, c = 16.1267 Å
α = 90.00°, β = 90.00°, γ = 120.00°
Space group R-3m (No. 166, hexagonal axes)
One atom of each set of equivalent atoms:
Sr1 0.0000 0.0000 0.0000 (multiplicity 3)
As1 0.0000 0.0000 0.5000 (multiplicity 3)
Ir1 0.0000 0.0000 0.1958 (multiplicity 6)

---

[4]
SrAs2Ir | SCAN | single point on PBEsol structure

## Properties
**Spin magnetization**: 0.0 μB/cell
**Calculated formation energy**: -0.808 eV per atom

a = 4.1689 Å, b = 4.1689 Å, c = 16.3965 Å
α = 90.00°, β = 90.00°, γ = 120.00°
Space group R-3m (No. 166, hexagonal axes)
One atom of each set of equivalent atoms:
Sr1 0.0000 0.0000 0.0000 (multiplicity 3)
As1 0.0000 0.0000 0.2171 (multiplicity 6)
Ir1 0.0000 0.0000 0.5000 (multiplicity 3)

---

[5]
SrZrAs2Ir | SCAN | single point on PBEsol structure

## Properties
**Spin magnetization**: 1.6 μB/cell
**Calculated formation energy**: 0.009 eV per atom

a = 5.0137 Å, b = 5.0137 Å, c = 4.9368 Å
α = 90.00°, β = 90.00°, γ = 90.00°
Space group P4/mmm (No. 123)
One atom of each set of equivalent atoms:
Sr1 0.0000 0.0000 0.0000 (multiplicity 1)
Zr1 0.5000 0.5000 0.0000 (multiplicity 1)
As1 0.0000 0.5000 0.5000 (multiplicity 2)
Ir1 0.5000 0.5000 0.5000 (multiplicity 1)

---

[6]
Ta2AsIr | SCAN | single point on PBEsol structure

## Properties
**Spin magnetization**: 0.0 μB/cell
**Calculated formation energy**: -0.389 eV per atom

a = 2.8598 Å, b = 4.0064 Å, c = 5.6075 Å
α = 90.00°, β = 98.44°, γ = 90.00°
Space group P2/m (No. 10)
One atom of each set of equivalent atoms:
Ta1 0.0518 0.0000 0.2486 (multiplicity 2)
As1 0.5000 0.5000 0.5000 (multiplicity 1)
Ir1 0.5000 0.5000 0.0000 (multiplicity 1)

---

| no. | theoretical density (g/cm3) |
| --- | --- |
| 1 | 12.441 |
| 2 | 8.774 |
| 3 | 10.628 |
| 4 | 8.673 |
| 5 | 6.970 |
| 6 | 16.436 |